[1]
# SmTmMo4

A geometry-optimized SmTmMo4 structure (PBE, Alexandria via LeMat-Bulk).

Computed properties:
**ΔE_f**: 0.753 eV/f.u.

Unit cell a=5.526 b=5.526 c=5.526 alpha=60.00 beta=60.00 gamma=60.00
Fractional positions:
Mo1 0.625 0.126 0.625
Tm1 0.000 0.000 0.000
Sm1 0.250 0.250 0.250
Mo2 0.625 0.625 0.625
Mo3 0.625 0.625 0.126
Mo4 0.126 0.625 0.625

***

[2]
# Tb2CdSe4

A geometry-optimized Tb2CdSe4 structure (PBE, Alexandria via LeMat-Bulk).

Computed properties:
**Energy relative to the elements, uncorrected**: -1517 meV/atom

Unit cell a=8.374 b=8.374 c=8.376 alpha=59.99 beta=59.99 gamma=89.99
Fractional positions:
Se1 0.743 0.757 0.013
Tb1 0.500 0.000 0.500
Se2 0.270 0.757 0.487
Cd1 0.875 0.625 0.750
Se3 0.730 0.243 0.513
Tb2 0.000 0.000 0.000
Se4 0.257 0.243 0.987
Se5 0.743 0.757 0.487
Se6 0.743 0.230 0.013
Cd2 0.125 0.375 0.250
Se7 0.257 0.243 0.513
Tb3 0.500 0.000 0.000
Se8 0.257 0.770 0.987
Tb4 0.500 0.500 0.500